Crystalline Cs2ScAgBr6 at its relaxed geometry, computed with PBEsol.

Cell: 7.6640 7.6640 7.6640 Å, 60.00 60.00 60.00°
Last column: nearest neighbours and their distance in Å.
Fractional coordinates of all 10 atoms:
Cs 0.7500 0.7500 0.7500  12 Br 3.83
Cs 0.2500 0.2500 0.2500  12 Br 3.83
Sc 0.0000 0.0000 0.0000  6 Br 2.63
Ag 0.5000 0.5000 0.5000  6 Br 2.79
Br 0.7571 0.2429 0.2429  1 Sc 2.63, 1 Ag 2.79
Br 0.7571 0.7571 0.2429  1 Sc 2.63, 1 Ag 2.79
Br 0.2429 0.7571 0.7571  1 Sc 2.63, 1 Ag 2.79
Br 0.7571 0.2429 0.7571  1 Sc 2.63, 1 Ag 2.79
Br 0.2429 0.7571 0.2429  1 Sc 2.63, 1 Ag 2.79
Br 0.2429 0.2429 0.7571  1 Sc 2.63, 1 Ag 2.79

Summary:
raw formation energy: -1.5008 eV per atom
density: 4.685 g/cm3
space group: No. 225
E: -3.803 eV per atom